This record from Alexandria via LeMat-Bulk describes a relaxed structure of MnB2F. The functional is GGA+U.

Calculated values
The density of states at the Fermi level comes out at 1.880 states/eV per cell. The magnetic moment comes out at 3.77 μB/f.u. The value obtained for the offset from the most stable computed form is 64 kJ/mol of formula units. The crystal system is cubic. Its raw total energy is -4.414 eV/atom. The space group is Fm-3m.

abc: 3.9605 3.9605 3.9605
angles: 60.00 60.00 60.00
Atoms (fractional coordinates):
Mn: 0.5000 0.5000 0.5000
B: 0.7500 0.7500 0.7500
F: 0.0000 0.0000 0.0000
B: 0.2500 0.2500 0.2500